No. 1
VASP calculation (PBE) on a geometry-optimized BaTiCo2W structure.

Geometry as CIF:
```
data_BaTiCo2W
_chemical_formula_sum 'Ba1 Ti1 Co2 W1'
_symmetry_space_group_name_H-M 'P 4/m m m'
_symmetry_Int_Tables_number 123
_symmetry_space_group_name_Hall '-P 4 2'
_cell_length_a 4.3471
_cell_length_b 4.3471
_cell_length_c 5.2346
_cell_angle_alpha 90.00
_cell_angle_beta 90.00
_cell_angle_gamma 90.00
loop_
_atom_site_label
_atom_site_fract_x
_atom_site_fract_y
_atom_site_fract_z
_atom_site_occupancy
Ba1 0.0000 0.0000 0.0000 1
Ti1 0.0000 0.0000 0.5000 1
Co1 0.0000 0.5000 0.5000 1
W1 0.5000 0.5000 0.0000 1
```

Computed properties:
Energy of formation from the pure elements: 1.89 eV/atom
VASP energy: -27.5 eV per cell

***

No. 2
VASP calculation (PBE) on a geometry-optimized TmSnRhAu structure.

Geometry as CIF:
```
data_TmSnRhAu
_chemical_formula_sum 'Tm4 Sn4 Rh4 Au4'
_symmetry_space_group_name_H-M 'F -4 3 m'
_symmetry_Int_Tables_number 216
_symmetry_space_group_name_Hall 'F -4 2 3'
_cell_length_a 6.7966
_cell_length_b 6.7966
_cell_length_c 6.7966
_cell_angle_alpha 90.00
_cell_angle_beta 90.00
_cell_angle_gamma 90.00
loop_
_atom_site_label
_atom_site_fract_x
_atom_site_fract_y
_atom_site_fract_z
_atom_site_occupancy
Tm1 0.0000 0.0000 0.0000 1
Sn1 0.0000 0.0000 0.5000 1
Rh1 0.2500 0.2500 0.7500 1
Au1 0.2500 0.2500 0.2500 1
```

Computed properties:
Energy of formation from the pure elements: -0.65 eV/atom
VASP energy: -86.8 eV per cell

***

> What is the energy of formation from the pure elements in the first record?

1.89 eV/atom

***

> What is the formula in the first record?

BaTiCo2W

***

> Among the records above, which one has the lowest energy of formation from the pure elements?

TmSnRhAu

***

> Which of these has the highest energy of formation from the pure elements?

BaTiCo2W